Entry 1:
Computed, not measured: a relaxed structure of Sr2DyCuO4 at the GGA-PBE level of DFT.

Cell and atoms, written as POSCAR:
```
Sr2DyCuO4
1.0
6.0943 0.0000 0.0000
0.0000 3.4947 0.0000
-2.2252 0.0000 5.6823
Sr Dy Cu O
2 1 1 4
Direct
0.0000 0.0000 0.0000 Sr
0.5000 0.5000 0.0000 Sr
0.0000 0.5000 0.5000 Dy
0.5000 0.0000 0.5000 Cu
0.2181 0.0000 0.7362 O
0.2420 0.5000 0.2752 O
0.7580 0.5000 0.7248 O
0.7819 0.0000 0.2638 O
```

Results
Uncorrected energy in eV/atom: -6.308


Entry 2:
Computed, not measured: a relaxed structure of Cd6GaHg2 at the GGA-PBE level of DFT.

Cell and atoms, written as POSCAR:
```
Cd6GaHg2
1.0
7.0217 0.0000 0.0000
-3.5108 6.0809 0.0000
0.0000 0.0000 5.1690
Cd Ga Hg
6 1 2
Direct
0.1871 0.3742 0.2989 Cd
0.1871 0.8129 0.2989 Cd
0.3742 0.1871 0.7011 Cd
0.6258 0.8129 0.2989 Cd
0.8129 0.1871 0.7011 Cd
0.8129 0.6258 0.7011 Cd
0.0000 0.0000 0.0000 Ga
0.3333 0.6667 0.7982 Hg
0.6667 0.3333 0.2018 Hg
```

Results
Formation enthalpy at 0 K in meV/atom: 79
Uncorrected energy in eV/atom: -0.934
Energy above the most stable polymorph in this dataset in kJ/mol of atoms: 4.5


Entry 3:
Computed, not measured: a relaxed structure of Ce6Bi2HIr at the GGA-PBE level of DFT.

Cell and atoms, written as POSCAR:
```
Ce6Bi2HIr
1.0
5.2444 0.0000 0.0000
0.0000 5.2444 0.0000
0.0000 0.0000 10.1101
Ce Bi H Ir
6 2 1 1
Direct
0.0000 0.0000 0.2184 Ce
0.0000 0.0000 0.7816 Ce
0.0000 0.5000 0.0000 Ce
0.0000 0.5000 0.5000 Ce
0.5000 0.0000 0.0000 Ce
0.5000 0.0000 0.5000 Ce
0.5000 0.5000 0.2434 Bi
0.5000 0.5000 0.7566 Bi
0.0000 0.0000 0.0000 H
0.0000 0.0000 0.5000 Ir
```

Results
Uncorrected energy in eV/atom: -5.984


Entry 4:
Computed, not measured: a relaxed structure of CsLiCd2Pd at the GGA-PBE level of DFT.

Cell and atoms, written as POSCAR:
```
CsLiCd2Pd
1.0
5.4376 0.0000 0.0000
0.0000 5.4376 0.0000
0.0000 0.0000 5.1462
Cs Li Cd Pd
1 1 2 1
Direct
0.0000 0.0000 0.0000 Cs
0.5000 0.5000 0.0000 Li
0.0000 0.5000 0.5000 Cd
0.5000 0.0000 0.5000 Cd
0.5000 0.5000 0.5000 Pd
```

Results
Formation enthalpy at 0 K in meV/atom: -147
Uncorrected energy in eV/atom: -2.105


Entry 5:
Computed, not measured: a relaxed structure of U2ReGe at the GGA-PBE level of DFT.

Cell and atoms, written as POSCAR:
```
U2ReGe
1.0
4.1162 0.0000 0.0000
0.0000 4.1162 0.0000
0.0000 0.0000 4.3165
U Re Ge
2 1 1
Direct
0.0000 0.5000 0.0000 U
0.5000 0.0000 0.0000 U
0.0000 0.0000 0.5000 Re
0.5000 0.5000 0.5000 Ge
```

Results
Formation enthalpy at 0 K in meV/atom: -104
Uncorrected energy in eV/atom: -10.014
Energy above the most stable polymorph in this dataset in kJ/mol of atoms: 0.0


Entry 6:
Computed, not measured: a relaxed structure of SrNi3W at the GGA-PBE level of DFT.

Cell and atoms, written as POSCAR:
```
SrNi3W
1.0
4.5781 0.0000 0.0000
0.0000 4.5781 0.0000
0.0000 0.0000 4.5781
Sr Ni W
1 3 1
Direct
0.0000 0.0000 0.0000 Sr
0.0000 0.0000 0.5000 Ni
0.0000 0.5000 0.0000 Ni
0.5000 0.0000 0.0000 Ni
0.5000 0.5000 0.5000 W
```

Results
Formation enthalpy at 0 K in meV/atom: 2295
Uncorrected energy in eV/atom: -4.101
Energy above the most stable polymorph in this dataset in kJ/mol of atoms: 157.1


Entry 7:
Computed, not measured: a relaxed structure of Tb3PrHo5 at the GGA-PBE level of DFT.

Cell and atoms, written as POSCAR:
```
Tb3PrHo5
1.0
8.4094 -3.9907 0.0000
8.4094 3.9907 0.0000
-8.0010 0.0000 9.2769
Tb Pr Ho
6 2 10
Direct
0.0000 0.0000 0.0000 Tb
0.1188 0.1188 0.8131 Tb
0.3257 0.3257 0.1576 Tb
0.5000 0.5000 0.5000 Tb
0.6743 0.6743 0.8424 Tb
0.8812 0.8812 0.1869 Tb
0.2627 0.2627 0.3686 Pr
0.7373 0.7373 0.6314 Pr
0.1797 0.8203 0.5000 Ho
0.2004 0.2004 0.5707 Ho
0.2309 0.6405 0.7197 Ho
0.3595 0.7691 0.2803 Ho
0.3767 0.3767 0.9333 Ho
0.6233 0.6233 0.0667 Ho
0.6405 0.2309 0.7197 Ho
0.7691 0.3595 0.2803 Ho
0.7996 0.7996 0.4293 Ho
0.8203 0.1797 0.5000 Ho
```

Results
Formation enthalpy at 0 K in meV/atom: 412
Uncorrected energy in eV/atom: -4.206
Energy above the most stable polymorph in this dataset in kJ/mol of atoms: 7.6


Entry 8:
Computed, not measured: a relaxed structure of AcPRuO at the GGA-PBE level of DFT.

Cell and atoms, written as POSCAR:
```
AcPRuO
1.0
4.1253 0.0000 0.0000
0.0000 4.1253 0.0000
0.0000 0.0000 8.8206
Ac P Ru O
2 2 2 2
Direct
0.2500 0.2500 0.1502 Ac
0.7500 0.7500 0.8498 Ac
0.2500 0.2500 0.6286 P
0.7500 0.7500 0.3714 P
0.2500 0.7500 0.5000 Ru
0.7500 0.2500 0.5000 Ru
0.2500 0.7500 0.0000 O
0.7500 0.2500 0.0000 O
```

Results
Uncorrected energy in eV/atom: -7.957


Entry 9:
Computed, not measured: a relaxed structure of NaBeGe2O6 at the GGA-PBE level of DFT.

Cell and atoms, written as POSCAR:
```
NaBeGe2O6
1.0
4.9502 -5.1555 0.0000
4.9502 5.1555 0.0000
-2.0388 0.0000 5.0265
Na Be Ge O
2 2 4 12
Direct
0.1059 0.8941 0.7500 Na
0.8941 0.1059 0.2500 Na
0.2043 0.7957 0.2500 Be
0.7957 0.2043 0.7500 Be
0.2248 0.4003 0.8274 Ge
0.4003 0.2248 0.3274 Ge
0.5997 0.7752 0.6726 Ge
0.7752 0.5997 0.1726 Ge
0.0149 0.2304 0.7125 O
0.1903 0.6413 0.9674 O
0.2304 0.0149 0.2125 O
0.3025 0.4039 0.5405 O
0.3587 0.8097 0.5326 O
0.4039 0.3025 0.0405 O
0.5961 0.6975 0.9595 O
0.6413 0.1903 0.4674 O
0.6975 0.5961 0.4595 O
0.7696 0.9851 0.7875 O
0.8097 0.3587 0.0326 O
0.9851 0.7696 0.2875 O
```

Results
Uncorrected energy in eV/atom: -6.099


Entry 10:
Computed, not measured: a relaxed structure of Ce3IrPt2 at the GGA-PBE level of DFT.

Cell and atoms, written as POSCAR:
```
Ce3IrPt2
1.0
5.1931 0.0000 0.0000
-2.4762 7.2253 0.0000
-2.2637 -2.5866 7.0936
Ce Ir Pt
6 2 4
Direct
0.0179 0.2710 0.2716 Ce
0.3099 0.4412 0.7456 Ce
0.3721 0.9276 0.2455 Ce
0.6279 0.0724 0.7545 Ce
0.6901 0.5588 0.2544 Ce
0.9821 0.7290 0.7284 Ce
0.3906 0.6864 0.4849 Ir
0.6094 0.3136 0.5151 Ir
0.0000 0.0000 0.5000 Pt
0.0000 0.5000 0.0000 Pt
0.2517 0.1603 0.9650 Pt
0.7483 0.8397 0.0350 Pt
```

Results
Formation enthalpy at 0 K in meV/atom: -876
Uncorrected energy in eV/atom: -7.334
Energy above the most stable polymorph in this dataset in kJ/mol of atoms: 7.7


Entry 11:
Computed, not measured: a relaxed structure of Th5Tl2Re2 at the GGA-PBE level of DFT.

Cell and atoms, written as POSCAR:
```
Th5Tl2Re2
1.0
8.2931 -4.0034 0.0000
8.2931 4.0034 0.0000
0.0000 0.0000 7.8948
Th Tl Re
10 4 4
Direct
0.0000 0.0000 0.0000 Th
0.0512 0.7231 0.6596 Th
0.2231 0.5512 0.1596 Th
0.2769 0.9488 0.6596 Th
0.4488 0.7769 0.1596 Th
0.5000 0.5000 0.5000 Th
0.5512 0.2231 0.8404 Th
0.7231 0.0512 0.3404 Th
0.7769 0.4488 0.8404 Th
0.9488 0.2769 0.3404 Th
0.2177 0.2177 0.0000 Tl
0.2823 0.2823 0.5000 Tl
0.7177 0.7177 0.5000 Tl
0.7823 0.7823 0.0000 Tl
0.1336 0.8664 0.3625 Re
0.3664 0.6336 0.8625 Re
0.6336 0.3664 0.1375 Re
0.8664 0.1336 0.6375 Re
```

Results
Formation enthalpy at 0 K in meV/atom: -80
Uncorrected energy in eV/atom: -7.495


Entry 12:
Computed, not measured: a relaxed structure of CeHoErIn at the GGA-PBE level of DFT.

Cell and atoms, written as POSCAR:
```
CeHoErIn
1.0
7.5939 0.0000 0.0000
0.0000 7.5939 0.0000
0.0000 0.0000 7.5939
Ce Ho Er In
4 4 4 4
Direct
0.0000 0.0000 0.0000 Ce
0.0000 0.5000 0.5000 Ce
0.5000 0.0000 0.5000 Ce
0.5000 0.5000 0.0000 Ce
0.2500 0.2500 0.2500 Ho
0.2500 0.7500 0.7500 Ho
0.7500 0.2500 0.7500 Ho
0.7500 0.7500 0.2500 Ho
0.2500 0.2500 0.7500 Er
0.2500 0.7500 0.2500 Er
0.7500 0.2500 0.2500 Er
0.7500 0.7500 0.7500 Er
0.0000 0.0000 0.5000 In
0.0000 0.5000 0.0000 In
0.5000 0.0000 0.0000 In
0.5000 0.5000 0.5000 In
```

Results
Formation enthalpy at 0 K in meV/atom: -64
Uncorrected energy in eV/atom: -4.518


Number 1: total magnetization 0.006 μB per atom, theoretical density 6.38 g/cm3. Number 2: total magnetization 0.000 μB per atom, theoretical density 8.62 g/cm3. Number 3: total magnetization 0.696 μB per atom, theoretical density 8.67 g/cm3. Number 4: total magnetization 0.000 μB per atom, theoretical density 5.14 g/cm3. Number 5: total magnetization 0.041 μB per atom, theoretical density 16.69 g/cm3. Number 6: total magnetization 0.741 μB per atom, theoretical density 7.74 g/cm3. Number 7: total magnetization 0.000 μB per atom, theoretical density 7.69 g/cm3. Number 8: total magnetization 0.000 μB per atom, theoretical density 8.30 g/cm3. Number 9: total magnetization 0.102 μB per atom, theoretical density 3.54 g/cm3. Number 10: total magnetization 0.278 μB per atom, theoretical density 12.51 g/cm3. Number 11: total magnetization 0.000 μB per atom, theoretical density 12.30 g/cm3. Number 12: total magnetization 0.036 μB per atom, theoretical density 8.91 g/cm3.